Crystalline YAlSi at its relaxed geometry, computed with PBE.

Summary:
E_form (uncorrected)   -0.440 eV/atom
Energy   -5.65 eV per atom

```
data_YAlSi
_chemical_formula_sum 'Y3 Al3 Si3'
_symmetry_space_group_name_H-M 'R 3 m'
_symmetry_Int_Tables_number 160
_symmetry_space_group_name_Hall 'R 3 -2"'
_cell_length_a 4.0661
_cell_length_b 4.0661
_cell_length_c 14.2535
_cell_angle_alpha 90.00
_cell_angle_beta 90.00
_cell_angle_gamma 120.00
loop_
_atom_site_label
_atom_site_type_symbol
_atom_site_fract_x
_atom_site_fract_y
_atom_site_fract_z
Y1 Y 0.0000 0.0000 0.0000
Al1 Al 0.0000 0.0000 0.4889
Si1 Si 0.0000 0.0000 0.2096
```



Crystalline KYFe2 at its relaxed geometry, computed with PBE.

Summary:
Formation energy from the elements   1.00 eV/atom
Energy   -5.12 eV per atom

```
data_KYFe2
_chemical_formula_sum 'K2 Y2 Fe4'
_symmetry_space_group_name_H-M 'C m m m'
_symmetry_Int_Tables_number 65
_symmetry_space_group_name_Hall '-C 2 2'
_cell_length_a 7.127
_cell_length_b 7.152
_cell_length_c 3.623
_cell_angle_alpha 90.00
_cell_angle_beta 90.00
_cell_angle_gamma 90.00
loop_
_atom_site_label
_atom_site_type_symbol
_atom_site_fract_x
_atom_site_fract_y
_atom_site_fract_z
K1 K 0.000 0.000 0.000
Y1 Y 0.000 0.500 0.000
Fe1 Fe 0.250 0.250 0.500
```



Crystalline MgRhF at its relaxed geometry, computed with PBE.

Summary:
E_form (uncorrected)   -1.618 eV/atom
Energy   -5.22 eV per atom

```
data_MgRhF
_chemical_formula_sum 'Mg2 Rh2 F2'
_symmetry_space_group_name_H-M 'P 1 m 1'
_symmetry_Int_Tables_number 6
_cell_length_a 2.985
_cell_length_b 2.854
_cell_length_c 9.483
_cell_angle_alpha 90.00
_cell_angle_beta 90.03
_cell_angle_gamma 90.00
loop_
_symmetry_equiv_pos_as_xyz
'x,y,z'
'x,-y,z'
loop_
_atom_site_label
_atom_site_type_symbol
_atom_site_fract_x
_atom_site_fract_y
_atom_site_fract_z
Mg1 Mg 0.000 0.000 0.000
Mg2 Mg 0.001 0.500 0.371
Rh1 Rh 0.499 0.500 0.804
Rh2 Rh 0.999 0.000 0.632
F1 F 0.000 0.500 0.150
F2 F 0.500 0.000 0.330
```



Crystalline TaZnAu at its relaxed geometry, computed with PBE.

Summary:
Formation energy from the elements   0.02 eV/atom
Energy   -5.45 eV per atom

```
data_TaZnAu
_chemical_formula_sum 'Ta1 Zn1 Au1'
_symmetry_space_group_name_H-M 'P -6 m 2'
_symmetry_Int_Tables_number 187
_symmetry_space_group_name_Hall 'P -6 2'
_cell_length_a 4.4574
_cell_length_b 4.4574
_cell_length_c 2.9038
_cell_angle_alpha 90.00
_cell_angle_beta 90.00
_cell_angle_gamma 120.00
loop_
_atom_site_label
_atom_site_type_symbol
_atom_site_fract_x
_atom_site_fract_y
_atom_site_fract_z
Ta1 Ta 0.0000 0.0000 0.0000
Zn1 Zn 0.6667 0.3333 0.5000
Au1 Au 0.3333 0.6667 0.5000
```



Crystalline PuCd2Hg2 at its relaxed geometry, computed with PBE.

Summary:
Formation energy from the elements   0.00 eV/atom
Energy   -3.35 eV per atom

```
data_PuCd2Hg2
_chemical_formula_sum 'Pu2 Cd4 Hg4'
_symmetry_space_group_name_H-M 'P 4/m b m'
_symmetry_Int_Tables_number 127
_symmetry_space_group_name_Hall '-P 4 2ab'
_cell_length_a 8.683
_cell_length_b 8.683
_cell_length_c 3.263
_cell_angle_alpha 90.00
_cell_angle_beta 90.00
_cell_angle_gamma 90.00
loop_
_atom_site_label
_atom_site_type_symbol
_atom_site_fract_x
_atom_site_fract_y
_atom_site_fract_z
Pu1 Pu 0.000 0.000 0.000
Cd1 Cd 0.157 0.343 0.500
Hg1 Hg 0.140 0.640 0.000
```



Crystalline Pr4Sb2SeN2 at its relaxed geometry, computed with PBE.

Summary:
E_form (uncorrected)   -1.261 eV/atom
Energy   -6.54 eV per atom

```
data_Pr4Sb2SeN2
_chemical_formula_sum 'Pr8 Sb4 Se2 N4'
_symmetry_space_group_name_H-M 'C 1 2/m 1'
_symmetry_Int_Tables_number 12
_cell_length_a 16.226
_cell_length_b 4.249
_cell_length_c 8.665
_cell_angle_alpha 90.00
_cell_angle_beta 118.87
_cell_angle_gamma 90.00
loop_
_symmetry_equiv_pos_as_xyz
'x,y,z'
'-x,-y,-z'
'-x,y,-z'
'x,-y,z'
'x+1/2,y+1/2,z'
'-x+1/2,-y+1/2,-z'
'-x+1/2,y+1/2,-z'
'x+1/2,-y+1/2,z'
loop_
_atom_site_label
_atom_site_type_symbol
_atom_site_fract_x
_atom_site_fract_y
_atom_site_fract_z
Pr1 Pr 0.024 0.000 0.276
Pr2 Pr 0.226 0.500 0.639
Sb1 Sb 0.100 0.500 0.057
Se1 Se 0.000 0.500 0.500
N1 N 0.177 0.000 0.488
```



Crystalline Th6AuC3 at its relaxed geometry, computed with PBE.

Summary:
Formation energy from the elements   -0.25 eV/atom
Energy   -7.80 eV per atom

```
data_Th6AuC3
_chemical_formula_sum 'Th12 Au2 C6'
_symmetry_space_group_name_H-M 'P 1 21/m 1'
_symmetry_Int_Tables_number 11
_cell_length_a 11.600
_cell_length_b 3.712
_cell_length_c 12.342
_cell_angle_alpha 90.00
_cell_angle_beta 116.72
_cell_angle_gamma 90.00
loop_
_symmetry_equiv_pos_as_xyz
'x,y,z'
'-x,-y,-z'
'-x,y+1/2,-z'
'x,-y+1/2,z'
loop_
_atom_site_label
_atom_site_type_symbol
_atom_site_fract_x
_atom_site_fract_y
_atom_site_fract_z
Th1 Th 0.036 0.250 0.374
Th2 Th 0.111 0.750 0.944
Th3 Th 0.230 0.750 0.264
Th4 Th 0.252 0.250 0.793
Th5 Th 0.424 0.250 0.567
Th6 Th 0.441 0.250 0.111
Au1 Au 0.219 0.750 0.578
C1 C 0.021 0.250 0.780
C2 C 0.355 0.750 0.951
C3 C 0.407 0.250 0.344
```



Crystalline LiCaZnAu2 at its relaxed geometry, computed with PBE.

Summary:
Formation energy from the elements   -0.59 eV/atom
Energy   -2.93 eV per atom

```
data_LiCaZnAu2
_chemical_formula_sum 'Li2 Ca2 Zn2 Au4'
_symmetry_space_group_name_H-M 'I -4 m 2'
_symmetry_Int_Tables_number 119
_symmetry_space_group_name_Hall 'I -4 -2'
_cell_length_a 4.018
_cell_length_b 4.018
_cell_length_c 12.623
_cell_angle_alpha 90.00
_cell_angle_beta 90.00
_cell_angle_gamma 90.00
loop_
_atom_site_label
_atom_site_type_symbol
_atom_site_fract_x
_atom_site_fract_y
_atom_site_fract_z
Li1 Li 0.000 0.000 0.000
Ca1 Ca 0.000 0.500 0.250
Zn1 Zn 0.000 0.000 0.500
Au1 Au 0.000 0.500 0.639
```



Crystalline Pd8Pt3 at its relaxed geometry, computed with PBE.

Summary:
Formation energy from the elements   0.11 eV/atom
Energy   -5.32 eV per atom

```
data_Pd8Pt3
_chemical_formula_sum 'Pd16 Pt6'
_symmetry_space_group_name_H-M 'I m m m'
_symmetry_Int_Tables_number 71
_symmetry_space_group_name_Hall '-I 2 2'
_cell_length_a 2.673
_cell_length_b 4.586
_cell_length_c 28.148
_cell_angle_alpha 90.00
_cell_angle_beta 90.00
_cell_angle_gamma 90.00
loop_
_atom_site_label
_atom_site_type_symbol
_atom_site_fract_x
_atom_site_fract_y
_atom_site_fract_z
Pd1 Pd 0.000 0.000 0.046
Pd2 Pd 0.000 0.000 0.230
Pd3 Pd 0.000 0.500 0.090
Pd4 Pd 0.000 0.500 0.182
Pt1 Pt 0.000 0.000 0.500
Pt2 Pt 0.000 0.500 0.362
```



Crystalline Cu2WSe at its relaxed geometry, computed with PBE.

Summary:
E_form (uncorrected)   0.566 eV/atom
Energy   -5.59 eV per atom

```
data_Cu2WSe
_chemical_formula_sum 'Cu8 W4 Se4'
_symmetry_space_group_name_H-M 'F -4 3 m'
_symmetry_Int_Tables_number 216
_symmetry_space_group_name_Hall 'F -4 2 3'
_cell_length_a 6.126
_cell_length_b 6.126
_cell_length_c 6.126
_cell_angle_alpha 90.00
_cell_angle_beta 90.00
_cell_angle_gamma 90.00
loop_
_atom_site_label
_atom_site_type_symbol
_atom_site_fract_x
_atom_site_fract_y
_atom_site_fract_z
Cu1 Cu 0.000 0.000 0.000
Cu2 Cu 0.250 0.250 0.250
W1 W 0.000 0.000 0.500
Se1 Se 0.250 0.250 0.750
```



Crystalline KCuSe at its relaxed geometry, computed with PBE.

Summary:
E_form (uncorrected)   -0.142 eV/atom
Energy   -3.03 eV per atom

```
data_KCuSe
_chemical_formula_sum 'K2 Cu2 Se2'
_symmetry_space_group_name_H-M 'I m m 2'
_symmetry_Int_Tables_number 44
_cell_length_a 4.468
_cell_length_b 4.479
_cell_length_c 8.512
_cell_angle_alpha 90.00
_cell_angle_beta 90.00
_cell_angle_gamma 90.00
loop_
_symmetry_equiv_pos_as_xyz
'x,y,z'
'-x,-y,z'
'-x,y,z'
'x,-y,z'
'x+1/2,y+1/2,z+1/2'
'-x+1/2,-y+1/2,z+1/2'
'-x+1/2,y+1/2,z+1/2'
'x+1/2,-y+1/2,z+1/2'
loop_
_atom_site_label
_atom_site_type_symbol
_atom_site_fract_x
_atom_site_fract_y
_atom_site_fract_z
K1 K 0.000 0.000 0.000
Cu1 Cu 0.000 0.000 0.368
Se1 Se 0.000 0.000 0.633
```



Crystalline Mn2BC at its relaxed geometry, computed with PBE.

Summary:
Formation energy from the elements   0.54 eV/atom
Energy   -8.02 eV per atom

```
data_Mn2BC
_chemical_formula_sum 'Mn8 B4 C4'
_symmetry_space_group_name_H-M 'I -4 2 d'
_symmetry_Int_Tables_number 122
_symmetry_space_group_name_Hall 'I -4 2bw'
_cell_length_a 4.450
_cell_length_b 4.450
_cell_length_c 8.832
_cell_angle_alpha 90.00
_cell_angle_beta 90.00
_cell_angle_gamma 90.00
loop_
_atom_site_label
_atom_site_type_symbol
_atom_site_fract_x
_atom_site_fract_y
_atom_site_fract_z
Mn1 Mn 0.231 0.250 0.125
B1 B 0.000 0.000 0.500
C1 C 0.000 0.000 0.000
```



Crystalline SrRuW at its relaxed geometry, computed with PBE.

Summary:
Formation energy from the elements   0.53 eV/atom
Energy   -7.44 eV per atom

```
data_SrRuW
_chemical_formula_sum 'Sr2 Ru2 W2'
_symmetry_space_group_name_H-M 'I 4 m m'
_symmetry_Int_Tables_number 107
_symmetry_space_group_name_Hall 'I 4 -2'
_cell_length_a 3.265
_cell_length_b 3.265
_cell_length_c 12.387
_cell_angle_alpha 90.00
_cell_angle_beta 90.00
_cell_angle_gamma 90.00
loop_
_atom_site_label
_atom_site_type_symbol
_atom_site_fract_x
_atom_site_fract_y
_atom_site_fract_z
Sr1 Sr 0.000 0.000 0.000
Ru1 Ru 0.000 0.000 0.296
W1 W 0.000 0.000 0.709
```